[1]
Computed, not measured: crystalline PrPt5 at its relaxed geometry at the PBE level of DFT.

Summary:
- Energy of formation from the pure elements: -484 meV per atom
- Total magnetic moment: 0.000 μB/atom
- Energy above the lowest structure with this stoichiometry: 236 meV/atom
- DOS(E_F): 13.17 states/eV/cell

Lattice parameters (Å, degrees): 4.1611 12.5582 4.0982 90.00 90.00 90.00
With the nearest neighbours (Å) after each atom.
Sites, in units of the cell vectors:
1 Pr 0.0000 0.0000 0.0000  12 Pt 2.92-3.02
2 Pr 0.5000 0.5000 0.0000  12 Pt 2.92-3.02
3 Pt 0.0000 0.1764 0.5000  10 Pt 2.78-3.04, 2 Pr 3.02
4 Pt 0.0000 0.3313 0.0000  10 Pt 2.82-2.95, 2 Pr 2.97
5 Pt 0.0000 0.5000 0.5000  4 Pr 2.92, 8 Pt 2.95-3.04
6 Pt 0.0000 0.6687 0.0000  10 Pt 2.82-2.95, 2 Pr 2.97
7 Pt 0.0000 0.8236 0.5000  10 Pt 2.78-3.04, 2 Pr 3.02
8 Pt 0.5000 0.0000 0.5000  4 Pr 2.92, 8 Pt 2.95-3.04
9 Pt 0.5000 0.1687 0.0000  10 Pt 2.82-2.95, 2 Pr 2.97
10 Pt 0.5000 0.3236 0.5000  10 Pt 2.78-3.04, 2 Pr 3.02
11 Pt 0.5000 0.6764 0.5000  10 Pt 2.78-3.04, 2 Pr 3.02
12 Pt 0.5000 0.8313 0.0000  10 Pt 2.82-2.95, 2 Pr 2.97

[2]
Computed, not measured: crystalline SrPrHgPd at its relaxed geometry at the PBE level of DFT.

Summary:
- Energy of formation from the pure elements: -519 meV per atom
- Total magnetic moment: 0.000 μB/atom
- DOS(E_F): 10.28 states/eV/cell

Lattice parameters (Å, degrees): 7.5928 7.5928 7.5928 90.00 90.00 90.00
With the nearest neighbours (Å) after each atom.
Sites, in units of the cell vectors:
1 Sr 0.0000 0.0000 0.0000  4 Hg 3.29, 4 Pd 3.29
2 Sr 0.0000 0.5000 0.5000  4 Hg 3.29, 4 Pd 3.29
3 Sr 0.5000 0.0000 0.5000  4 Hg 3.29, 4 Pd 3.29
4 Sr 0.5000 0.5000 0.0000  4 Hg 3.29, 4 Pd 3.29
5 Pr 0.0000 0.0000 0.5000  4 Hg 3.29, 4 Pd 3.29
6 Pr 0.0000 0.5000 0.0000  4 Hg 3.29, 4 Pd 3.29
7 Pr 0.5000 0.0000 0.0000  4 Hg 3.29, 4 Pd 3.29
8 Pr 0.5000 0.5000 0.5000  4 Hg 3.29, 4 Pd 3.29
9 Hg 0.2500 0.2500 0.2500  4 Pr 3.29, 4 Sr 3.29
10 Hg 0.2500 0.7500 0.7500  4 Pr 3.29, 4 Sr 3.29
11 Hg 0.7500 0.2500 0.7500  4 Pr 3.29, 4 Sr 3.29
12 Hg 0.7500 0.7500 0.2500  4 Pr 3.29, 4 Sr 3.29
13 Pd 0.2500 0.2500 0.7500  4 Pr 3.29, 4 Sr 3.29
14 Pd 0.2500 0.7500 0.2500  4 Pr 3.29, 4 Sr 3.29
15 Pd 0.7500 0.2500 0.2500  4 Pr 3.29, 4 Sr 3.29
16 Pd 0.7500 0.7500 0.7500  4 Pr 3.29, 4 Sr 3.29

[3]
Computed, not measured: crystalline LiSc2Tl at its relaxed geometry at the PBE level of DFT.

Summary:
- Energy of formation from the pure elements: -66 meV per atom
- Total magnetic moment: 0.145 μB/atom
- DOS(E_F): 5.01 states/eV/cell

Lattice parameters (Å, degrees): 3.2581 4.3577 6.2846 90.00 90.00 90.00
With the nearest neighbours (Å) after each atom.
Sites, in units of the cell vectors:
1 Li 0.0000 0.0000 0.0000  2 Tl 3.14, 8 Sc 3.15, 2 Li 3.26
2 Sc 0.5000 0.5000 0.2523  4 Sc 3.11-3.26, 4 Tl 3.13, 4 Li 3.15
3 Sc 0.5000 0.5000 0.7477  4 Sc 3.11-3.26, 4 Tl 3.13, 4 Li 3.15
4 Tl 0.0000 0.0000 0.5000  8 Sc 3.13, 2 Li 3.14, 2 Tl 3.26

[4]
Computed, not measured: crystalline AcReGe3 at its relaxed geometry at the PBE level of DFT.

Summary:
- Energy of formation from the pure elements: -23 meV per atom
- Total magnetic moment: 0.000 μB/atom
- Energy above the lowest structure with this stoichiometry: 13 meV/atom
- DOS(E_F): 5.93 states/eV/cell

Lattice parameters (Å, degrees): 4.9104 4.9104 4.9104 90.00 90.00 90.00
With the nearest neighbours (Å) after each atom.
Sites, in units of the cell vectors:
1 Ac 0.0000 0.0000 0.0000  12 Ge 3.47
2 Re 0.5000 0.5000 0.5000  6 Ge 2.46
3 Ge 0.0000 0.5000 0.5000  2 Re 2.46
4 Ge 0.5000 0.0000 0.5000  2 Re 2.46
5 Ge 0.5000 0.5000 0.0000  2 Re 2.46

[5]
Computed, not measured: crystalline LiCd2Cu2 at its relaxed geometry at the PBE level of DFT.

Summary:
- Energy of formation from the pure elements: -28 meV per atom
- Total magnetic moment: 0.000 μB/atom
- Energy above the lowest structure with this stoichiometry: 0 meV/atom
- DOS(E_F): 3.58 states/eV/cell

Lattice parameters (Å, degrees): 7.5071 7.5071 3.0614 90.00 90.00 90.00
With the nearest neighbours (Å) after each atom.
Sites, in units of the cell vectors:
1 Li 0.0000 0.0000 0.0000  4 Cu 2.99, 2 Li 3.06, 8 Cd 3.16
2 Li 0.5000 0.5000 0.0000  4 Cu 2.99, 2 Li 3.06, 8 Cd 3.16
3 Cd 0.1770 0.3230 0.5000  6 Cu 2.65-2.74
4 Cd 0.3230 0.8230 0.5000  6 Cu 2.65-2.74
5 Cd 0.6770 0.1770 0.5000  6 Cu 2.65-2.74
6 Cd 0.8230 0.6770 0.5000  6 Cu 2.65-2.74
7 Cu 0.1196 0.6196 0.0000  1 Cu 2.54, 6 Cd 2.65-2.74
8 Cu 0.3804 0.1196 0.0000  1 Cu 2.54, 6 Cd 2.65-2.74
9 Cu 0.6196 0.8804 0.0000  1 Cu 2.54, 6 Cd 2.65-2.74
10 Cu 0.8804 0.3804 0.0000  1 Cu 2.54, 6 Cd 2.65-2.74

[6]
Computed, not measured: crystalline YEr2Tl9 at its relaxed geometry at the PBE level of DFT.

Summary:
- Energy of formation from the pure elements: -217 meV per atom
- Total magnetic moment: 0.000 μB/atom
- DOS(E_F): 2.57 states/eV/cell

Lattice parameters (Å, degrees): 4.7589 4.7589 14.2801 90.00 90.00 90.00
With the nearest neighbours (Å) after each atom.
Sites, in units of the cell vectors:
1 Y 0.0000 0.0000 0.0000  12 Tl 3.37-3.38
2 Er 0.0000 0.0000 0.3334  12 Tl 3.36-3.37
3 Er 0.0000 0.0000 0.6666  12 Tl 3.36-3.37
4 Tl 0.0000 0.5000 0.1678  2 Er 3.36, 8 Tl 3.36-3.38, 2 Y 3.38
5 Tl 0.0000 0.5000 0.5000  8 Tl 3.36-3.37, 4 Er 3.36
6 Tl 0.0000 0.5000 0.8322  2 Er 3.36, 8 Tl 3.36-3.38, 2 Y 3.38
7 Tl 0.5000 0.0000 0.1678  2 Er 3.36, 8 Tl 3.36-3.38, 2 Y 3.38
8 Tl 0.5000 0.0000 0.5000  8 Tl 3.36-3.37, 4 Er 3.36
9 Tl 0.5000 0.0000 0.8322  2 Er 3.36, 8 Tl 3.36-3.38, 2 Y 3.38
10 Tl 0.5000 0.5000 0.0000  4 Y 3.37, 8 Tl 3.38
11 Tl 0.5000 0.5000 0.3338  8 Tl 3.36, 4 Er 3.37
12 Tl 0.5000 0.5000 0.6662  8 Tl 3.36, 4 Er 3.37

| no. | mass density (g/cm³) |
| --- | --- |
| 1 | 17.3 |
| 2 | 8.1 |
| 3 | 5.6 |
| 4 | 8.9 |
| 5 | 6.9 |
| 6 | 11.6 |